The following is a DFT calculation (PBE) of an optimized crystal structure of LaZnSe2N.

The energy above the lowest structure with this stoichiometry comes out at 3.32 eV/f.u. The size of the total moment comes out at 1.61 μB/cell. The formation energy (no corrections) comes out at 0.303 eV/atom. Its symmetry is P4/mmm. As for the crystal system: tetragonal.

a = 5.948 Å, b = 5.948 Å, c = 4.261 Å
α = 90.00°, β = 90.00°, γ = 90.00°
Fractional positions:
1 Zn 0.500 0.500 0.500
2 N 0.000 0.000 0.500
3 Se 0.000 0.500 0.000
4 Se 0.500 0.000 0.000
5 La 0.000 0.000 0.000